A plane-wave DFT calculation with GGA+U was carried out for Li7Mn2Co3O12 after structural relaxation.

Cell: 15.225 2.889 10.356 Å, 90.00 108.68 90.00°
Space group Cm (No. 8)
Asymmetric unit:
Li (0.000, 0.000, 0.000) [2 per cell]
Li (0.002, 0.000, 0.491) [2 per cell]
Li (0.163, 0.500, 0.637) [2 per cell]
Li (0.166, 0.000, 0.413) [2 per cell]
Li (0.179, 0.500, 0.185) [2 per cell]
Li (0.328, 0.000, 0.820) [2 per cell]
Li (0.333, 0.000, 0.331) [2 per cell]
Mn (0.007, 0.500, 0.253) [2 per cell]
Mn (0.499, 0.000, 0.742) [2 per cell]
Co (0.169, 0.000, 0.912) [2 per cell]
Co (0.320, 0.500, 0.559) [2 per cell]
Co (0.335, 0.500, 0.082) [2 per cell]
O (0.073, 0.000, 0.703) [2 per cell]
O (0.076, 0.500, 0.434) [2 per cell]
O (0.077, 0.000, 0.206) [2 per cell]
O (0.086, 0.500, 0.932) [2 per cell]
O (0.248, 0.500, 0.884) [2 per cell]
O (0.255, 0.000, 0.621) [2 per cell]
O (0.257, 0.000, 0.120) [2 per cell]
O (0.259, 0.500, 0.381) [2 per cell]
O (0.417, 0.000, 0.559) [2 per cell]
O (0.418, 0.000, 0.054) [2 per cell]
O (0.427, 0.500, 0.281) [2 per cell]
O (0.429, 0.500, 0.788) [2 per cell]

Summary:
Energy relative to the lowest polymorph listed for this composition (eV per atom): 0.049
Total DFT energy (no corrections) (eV/cell): -280.71